Entry from Alexandria: an optimized crystal structure of Li2Tl2Sn (PBE).

Properties
Distance to the lowest polymorph of the same formula = 139 meV/atom
Energy of formation = -0.04 eV/atom
Total DFT energy (no corrections) = -2.552 eV per atom
Crystal system = tetragonal

The structure in CIF format:
```
data_Li2Tl2Sn
_space_group_name_H-M_alt 'I 4/m m m'
_space_group_IT_number 139
_space_group_name_Hall '-I 4 2'
_cell_length_a 4.1943
_cell_length_b 4.1943
_cell_length_c 13.7945
_cell_angle_alpha 90.00
_cell_angle_beta 90.00
_cell_angle_gamma 90.00
loop_
_atom_site_label
_atom_site_fract_x
_atom_site_fract_y
_atom_site_fract_z
Li1 0.0000 0.5000 0.2500
Tl1 0.0000 0.0000 0.1081
Sn1 0.0000 0.0000 0.5000
```

---

Entry from Alexandria: an optimized crystal structure of Pa3ReSi4 (PBE).

Properties
Raw formation energy = -367.4 meV per atom
Total DFT energy (no corrections) = -8.196 eV per atom
Crystal system = orthorhombic

The structure in CIF format:
```
data_Pa3ReSi4
_space_group_name_H-M_alt 'I m m m'
_space_group_IT_number 71
_space_group_name_Hall '-I 2 2'
_cell_length_a 4.2750
_cell_length_b 6.1082
_cell_length_c 12.9890
_cell_angle_alpha 90.00
_cell_angle_beta 90.00
_cell_angle_gamma 90.00
loop_
_atom_site_label
_atom_site_fract_x
_atom_site_fract_y
_atom_site_fract_z
Pa1 0.0000 0.0000 0.0000
Pa2 0.0000 0.5000 0.1667
Re1 0.0000 0.0000 0.5000
Si1 0.0000 0.3051 0.3722
```

---

Entry from Alexandria: an optimized crystal structure of Mn2TcP (PBE).

Properties
Distance to the lowest polymorph of the same formula = 0 meV/atom
Energy of formation = -0.26 eV/atom
Total DFT energy (no corrections) = -8.785 eV per atom
Crystal system = orthorhombic

The structure in CIF format:
```
data_Mn2TcP
_space_group_name_H-M_alt 'C m c m'
_space_group_IT_number 63
_space_group_name_Hall '-C 2c 2'
_cell_length_a 2.8080
_cell_length_b 9.9259
_cell_length_c 6.7712
_cell_angle_alpha 90.00
_cell_angle_beta 90.00
_cell_angle_gamma 90.00
loop_
_atom_site_label
_atom_site_fract_x
_atom_site_fract_y
_atom_site_fract_z
Mn1 0.0000 0.1308 0.0475
Tc1 0.0000 0.4599 0.2500
P1 0.0000 0.2502 0.7500
```

---

Entry from Alexandria: an optimized crystal structure of Mn3Ir12Rh (PBE).

Properties
Energy of formation = -0.12 eV/atom
Total DFT energy (no corrections) = -8.946 eV per atom
Crystal system = tetragonal

The structure in CIF format:
```
data_Mn3Ir12Rh
_space_group_name_H-M_alt 'P 4/m m m'
_space_group_IT_number 123
_space_group_name_Hall '-P 4 2'
_cell_length_a 3.8325
_cell_length_b 3.8325
_cell_length_c 15.3377
_cell_angle_alpha 90.00
_cell_angle_beta 90.00
_cell_angle_gamma 90.00
loop_
_atom_site_label
_atom_site_fract_x
_atom_site_fract_y
_atom_site_fract_z
Mn1 0.0000 0.0000 0.0000
Mn2 0.0000 0.0000 0.2489
Ir1 0.0000 0.5000 0.1242
Ir2 0.0000 0.5000 0.3723
Ir3 0.5000 0.5000 0.0000
Ir4 0.5000 0.5000 0.2488
Ir5 0.5000 0.5000 0.5000
Rh1 0.0000 0.0000 0.5000
```

---

Entry from Alexandria: an optimized crystal structure of Nd2ErTmTe6 (PBE).

Properties
Raw formation energy = -1356.9 meV per atom
Total DFT energy (no corrections) = -5.099 eV per atom
Crystal system = trigonal

The structure in CIF format:
```
data_Nd2ErTmTe6
_space_group_name_H-M_alt 'R 3'
_space_group_IT_number 146
_space_group_name_Hall 'R 3'
_cell_length_a 7.8066
_cell_length_b 7.8066
_cell_length_c 21.0894
_cell_angle_alpha 90.00
_cell_angle_beta 90.00
_cell_angle_gamma 120.00
loop_
_atom_site_label
_atom_site_fract_x
_atom_site_fract_y
_atom_site_fract_z
Nd1 0.0000 0.0000 0.0000
Nd2 0.0000 0.0000 0.5001
Er1 0.0000 0.0000 0.1900
Tm1 0.0000 0.0000 0.6900
Te1 0.0345 0.6891 0.7666
Te2 0.0354 0.3465 0.2670
```

---

Entry from Alexandria: an optimized crystal structure of GdSbPbAu (PBE).

Properties
Raw formation energy = -447.2 meV per atom
Total DFT energy (no corrections) = -6.744 eV per atom
Crystal system = cubic

The structure in CIF format:
```
data_GdSbPbAu
_space_group_name_H-M_alt 'F -4 3 m'
_space_group_IT_number 216
_space_group_name_Hall 'F -4 2 3'
_cell_length_a 7.5062
_cell_length_b 7.5062
_cell_length_c 7.5062
_cell_angle_alpha 90.00
_cell_angle_beta 90.00
_cell_angle_gamma 90.00
loop_
_atom_site_label
_atom_site_fract_x
_atom_site_fract_y
_atom_site_fract_z
Gd1 0.0000 0.0000 0.0000
Sb1 0.2500 0.2500 0.2500
Pb1 0.0000 0.0000 0.5000
Au1 0.2500 0.2500 0.7500
```

---

Entry from Alexandria: an optimized crystal structure of KRb4Cu2 (PBE).

Properties
Energy of formation = 0.46 eV/atom
Total DFT energy (no corrections) = -1.419 eV per atom
Crystal system = tetragonal

The structure in CIF format:
```
data_KRb4Cu2
_space_group_name_H-M_alt 'I 4/m m m'
_space_group_IT_number 139
_space_group_name_Hall '-I 4 2'
_cell_length_a 6.7834
_cell_length_b 6.7834
_cell_length_c 17.3552
_cell_angle_alpha 90.00
_cell_angle_beta 90.00
_cell_angle_gamma 90.00
loop_
_atom_site_label
_atom_site_fract_x
_atom_site_fract_y
_atom_site_fract_z
K1 0.0000 0.0000 0.0000
Rb1 0.0000 0.0000 0.2439
Rb2 0.0000 0.5000 0.0000
Cu1 0.0000 0.0000 0.4324
```

---

Entry from Alexandria: an optimized crystal structure of CrInGe2 (PBE).

Properties
Energy of formation = 0.36 eV/atom
Total DFT energy (no corrections) = -5.040 eV per atom
Crystal system = tetragonal

The structure in CIF format:
```
data_CrInGe2
_space_group_name_H-M_alt 'I -4 2 d'
_space_group_IT_number 122
_space_group_name_Hall 'I -4 2bw'
_cell_length_a 4.3458
_cell_length_b 4.3458
_cell_length_c 17.5433
_cell_angle_alpha 90.00
_cell_angle_beta 90.00
_cell_angle_gamma 90.00
loop_
_atom_site_label
_atom_site_fract_x
_atom_site_fract_y
_atom_site_fract_z
Cr1 0.0000 0.0000 0.0000
In1 0.0000 0.0000 0.5000
Ge1 0.1788 0.2500 0.1250
```

---

Entry from Alexandria: an optimized crystal structure of TcTe2W (PBE).

Properties
Distance to the lowest polymorph of the same formula = 744 meV/atom
Raw formation energy = 913.0 meV per atom
Total DFT energy (no corrections) = -6.488 eV per atom
Crystal system = tetragonal

The structure in CIF format:
```
data_TcTe2W
_space_group_name_H-M_alt 'I -4 m 2'
_space_group_IT_number 119
_space_group_name_Hall 'I -4 -2'
_cell_length_a 4.2839
_cell_length_b 4.2839
_cell_length_c 8.3840
_cell_angle_alpha 90.00
_cell_angle_beta 90.00
_cell_angle_gamma 90.00
loop_
_atom_site_label
_atom_site_fract_x
_atom_site_fract_y
_atom_site_fract_z
Tc1 0.0000 0.0000 0.0000
Te1 0.0000 0.0000 0.5000
Te2 0.0000 0.5000 0.7500
W1 0.0000 0.5000 0.2500
```

---

Entry from Alexandria: an optimized crystal structure of Cs3Dy2ZrSe6 (PBE).

Properties
Raw formation energy = -1557.5 meV per atom
Total DFT energy (no corrections) = -4.993 eV per atom
Crystal system = monoclinic

The structure in CIF format:
```
data_Cs3Dy2ZrSe6
_space_group_name_H-M_alt 'C 1 2/m 1'
_space_group_IT_number 12
_space_group_name_Hall '-C 2y'
_cell_length_a 7.2161
_cell_length_b 12.4981
_cell_length_c 8.7267
_cell_angle_alpha 90.00
_cell_angle_beta 106.01
_cell_angle_gamma 90.00
loop_
_atom_site_label
_atom_site_fract_x
_atom_site_fract_y
_atom_site_fract_z
Cs1 0.0000 0.0000 0.0000
Cs2 0.0000 0.3306 0.0000
Dy1 0.0000 0.1664 0.5000
Zr1 0.0000 0.5000 0.5000
Se1 0.2222 0.3394 0.6848
Se2 0.2409 0.0000 0.6860
```

---

Entry from Alexandria: an optimized crystal structure of HfGaOs2 (PBE).

Properties
Energy of formation = 0.47 eV/atom
Total DFT energy (no corrections) = -8.387 eV per atom
Crystal system = tetragonal

The structure in CIF format:
```
data_HfGaOs2
_space_group_name_H-M_alt 'I -4 2 d'
_space_group_IT_number 122
_space_group_name_Hall 'I -4 2bw'
_cell_length_a 7.0662
_cell_length_b 7.0662
_cell_length_c 5.5614
_cell_angle_alpha 90.00
_cell_angle_beta 90.00
_cell_angle_gamma 90.00
loop_
_atom_site_label
_atom_site_fract_x
_atom_site_fract_y
_atom_site_fract_z
Hf1 0.0000 0.0000 0.0000
Ga1 0.0000 0.0000 0.5000
Os1 0.2112 0.2500 0.6250
```

---

Entry from Alexandria: an optimized crystal structure of SrLi2ThI8 (PBE).

Properties
Raw formation energy = -1313.9 meV per atom
Total DFT energy (no corrections) = -3.425 eV per atom
Crystal system = triclinic

The structure in CIF format:
```
data_SrLi2ThI8
_space_group_name_H-M_alt 'P -1'
_space_group_IT_number 2
_space_group_name_Hall '-P 1'
_cell_length_a 7.6944
_cell_length_b 7.9999
_cell_length_c 9.5864
_cell_angle_alpha 72.58
_cell_angle_beta 89.54
_cell_angle_gamma 77.95
loop_
_atom_site_label
_atom_site_fract_x
_atom_site_fract_y
_atom_site_fract_z
Sr1 0.0000 0.0000 0.0000
Li1 0.4620 0.3609 0.1693
Th1 0.0000 0.0000 0.5000
I1 0.1186 0.2408 0.2069
I2 0.1207 0.2250 0.6757
I3 0.3675 0.7508 0.5522
I4 0.3919 0.7315 0.0648
```

---

Entry from Alexandria: an optimized crystal structure of LaMnZn2 (PBE).

Properties
Energy of formation = 0.07 eV/atom
Total DFT energy (no corrections) = -4.096 eV per atom
Crystal system = tetragonal

The structure in CIF format:
```
data_LaMnZn2
_space_group_name_H-M_alt 'P 4 m m'
_space_group_IT_number 99
_space_group_name_Hall 'P 4 -2'
_cell_length_a 3.2822
_cell_length_b 3.2822
_cell_length_c 7.3665
_cell_angle_alpha 90.00
_cell_angle_beta 90.00
_cell_angle_gamma 90.00
loop_
_atom_site_label
_atom_site_fract_x
_atom_site_fract_y
_atom_site_fract_z
La1 0.0000 0.0000 0.0000
Mn1 0.5000 0.5000 0.2969
Zn1 0.0000 0.0000 0.4730
Zn2 0.5000 0.5000 0.6761
```

---

Entry from Alexandria: an optimized crystal structure of Pt2W (PBE).

Properties
Distance to the lowest polymorph of the same formula = 918 meV/atom
Energy of formation = 0.57 eV/atom
Total DFT energy (no corrections) = -7.778 eV per atom
Crystal system = cubic

The structure in CIF format:
```
data_Pt2W
_space_group_name_H-M_alt 'P a -3'
_space_group_IT_number 205
_space_group_name_Hall '-P 2ac 2ab 3'
_cell_length_a 6.1390
_cell_length_b 6.1390
_cell_length_c 6.1390
_cell_angle_alpha 90.00
_cell_angle_beta 90.00
_cell_angle_gamma 90.00
loop_
_atom_site_label
_atom_site_fract_x
_atom_site_fract_y
_atom_site_fract_z
Pt1 0.1232 0.1232 0.1232
W1 0.0000 0.0000 0.5000
```

---

Entry from Alexandria: an optimized crystal structure of CrInCu2 (PBE).

Properties
Energy of formation = 0.25 eV/atom
Total DFT energy (no corrections) = -4.889 eV per atom
Crystal system = monoclinic

The structure in CIF format:
```
data_CrInCu2
_space_group_name_H-M_alt 'P 1 2/m 1'
_space_group_IT_number 10
_space_group_name_Hall '-P 2y'
_cell_length_a 3.1780
_cell_length_b 3.2541
_cell_length_c 5.9645
_cell_angle_alpha 90.00
_cell_angle_beta 90.23
_cell_angle_gamma 90.00
loop_
_atom_site_label
_atom_site_fract_x
_atom_site_fract_y
_atom_site_fract_z
Cr1 0.0000 0.0000 0.0000
In1 0.0000 0.0000 0.5000
Cu1 0.4990 0.5000 0.7801
```

---

Entry from Alexandria: an optimized crystal structure of CaAlRuRh2 (PBE).

Properties
Energy of formation = 0.82 eV/atom
Total DFT energy (no corrections) = -5.126 eV per atom
Crystal system = tetragonal

The structure in CIF format:
```
data_CaAlRuRh2
_space_group_name_H-M_alt 'P 4/m m m'
_space_group_IT_number 123
_space_group_name_Hall '-P 4 2'
_cell_length_a 4.4607
_cell_length_b 4.4607
_cell_length_c 5.1039
_cell_angle_alpha 90.00
_cell_angle_beta 90.00
_cell_angle_gamma 90.00
loop_
_atom_site_label
_atom_site_fract_x
_atom_site_fract_y
_atom_site_fract_z
Ca1 0.0000 0.0000 0.0000
Al1 0.0000 0.0000 0.5000
Ru1 0.5000 0.5000 0.0000
Rh1 0.0000 0.5000 0.5000
```

---

Entry from Alexandria: an optimized crystal structure of Th3ScTl4 (PBE).

Properties
Distance to the lowest polymorph of the same formula = 68 meV/atom
Energy of formation = -0.10 eV/atom
Total DFT energy (no corrections) = -4.861 eV per atom
Crystal system = orthorhombic

The structure in CIF format:
```
data_Th3ScTl4
_space_group_name_H-M_alt 'P m n 21'
_space_group_IT_number 31
_space_group_name_Hall 'P 2ac -2'
_cell_length_a 9.7348
_cell_length_b 6.8289
_cell_length_c 6.7872
_cell_angle_alpha 90.00
_cell_angle_beta 90.00
_cell_angle_gamma 90.00
loop_
_atom_site_label
_atom_site_fract_x
_atom_site_fract_y
_atom_site_fract_z
Th1 0.0000 0.0006 0.0000
Th2 0.2500 0.2406 0.2507
Sc1 0.0000 0.5001 0.0010
Tl1 0.0000 0.9996 0.5002
Tl2 0.0000 0.4995 0.5013
Tl3 0.2504 0.2635 0.7506
```

---

Entry from Alexandria: an optimized crystal structure of Co2AsAu (PBE).

Properties
Energy of formation = 0.10 eV/atom
Total DFT energy (no corrections) = -5.439 eV per atom
Crystal system = tetragonal

The structure in CIF format:
```
data_Co2AsAu
_space_group_name_H-M_alt 'P 4/m m m'
_space_group_IT_number 123
_space_group_name_Hall '-P 4 2'
_cell_length_a 2.8960
_cell_length_b 2.8960
_cell_length_c 6.4499
_cell_angle_alpha 90.00
_cell_angle_beta 90.00
_cell_angle_gamma 90.00
loop_
_atom_site_label
_atom_site_fract_x
_atom_site_fract_y
_atom_site_fract_z
Co1 0.0000 0.0000 0.2056
As1 0.5000 0.5000 0.0000
Au1 0.5000 0.5000 0.5000
```

---

Entry from Alexandria: an optimized crystal structure of Pr5Sm4Mg2 (PBE).

Properties
Distance to the lowest polymorph of the same formula = 0 meV/atom
Energy of formation = 0.05 eV/atom
Total DFT energy (no corrections) = -4.127 eV per atom
Crystal system = monoclinic

The structure in CIF format:
```
data_Pr5Sm4Mg2
_space_group_name_H-M_alt 'C 1 2/m 1'
_space_group_IT_number 12
_space_group_name_Hall '-C 2y'
_cell_length_a 22.8951
_cell_length_b 3.5932
_cell_length_c 8.9617
_cell_angle_alpha 90.00
_cell_angle_beta 93.23
_cell_angle_gamma 90.00
loop_
_atom_site_label
_atom_site_fract_x
_atom_site_fract_y
_atom_site_fract_z
Pr1 0.0000 0.0000 0.0000
Pr2 0.1318 0.5000 0.0995
Pr3 0.1828 0.5000 0.4704
Sm1 0.0722 0.5000 0.7143
Sm2 0.2108 0.0000 0.8194
Mg1 0.0539 0.0000 0.3770
```

---

Entry from Alexandria: an optimized crystal structure of TaOs5 (PBE).

Properties
Distance to the lowest polymorph of the same formula = 26 meV/atom
Energy of formation = -0.05 eV/atom
Total DFT energy (no corrections) = -11.384 eV per atom
Crystal system = orthorhombic

The structure in CIF format:
```
data_TaOs5
_space_group_name_H-M_alt 'C m m m'
_space_group_IT_number 65
_space_group_name_Hall '-C 2 2'
_cell_length_a 3.8923
_cell_length_b 11.8846
_cell_length_c 3.8813
_cell_angle_alpha 90.00
_cell_angle_beta 90.00
_cell_angle_gamma 90.00
loop_
_atom_site_label
_atom_site_fract_x
_atom_site_fract_y
_atom_site_fract_z
Ta1 0.0000 0.0000 0.0000
Os1 0.0000 0.1725 0.5000
Os2 0.0000 0.3261 0.0000
Os3 0.0000 0.5000 0.5000
```